No. 1
A geometry-optimized Y3AgSn3 structure, computed with PBE-GGA.

```
Y3AgSn3
1.0
5.695 -2.292 0.000
5.695 2.292 0.000
-4.795 0.000 14.021
Y Ag Sn
6 2 6
Direct
0.030 0.030 0.381
0.099 0.099 0.922
0.233 0.233 0.225
0.767 0.767 0.775
0.901 0.901 0.078
0.970 0.970 0.619
0.269 0.269 0.612
0.731 0.731 0.388
0.365 0.365 0.450
0.371 0.371 0.925
0.487 0.487 0.770
0.513 0.513 0.230
0.629 0.629 0.075
0.635 0.635 0.550
```

Results
SG = C2/m, No. 12
Volume = 26.150 Å³/atom
VASP energy = -77.77 eV/cell


No. 2
A geometry-optimized ThPa2Pd structure, computed with PBE-GGA.

```
ThPa2Pd
1.0
3.601 0.000 0.000
0.000 3.601 0.000
0.000 0.000 7.810
Th Pa Pd
1 2 1
Direct
0.000 0.000 0.000
0.500 0.500 0.297
0.500 0.500 0.703
0.000 0.000 0.500
```

Results
Energy relative to the lowest polymorph listed for this composition = 0 meV per atom
SG = P4/mmm, No. 123
Volume = 25.325 Å³/atom
VASP energy = -32.01 eV/cell


No. 3
A geometry-optimized TlAs2H2 structure, computed with PBE-GGA.

```
TlAs2H2
1.0
-2.097 2.097 4.437
2.097 -2.097 4.437
2.097 2.097 -4.437
Tl As H
1 2 2
Direct
0.000 0.000 0.000
0.359 0.359 0.000
0.641 0.641 0.000
0.250 0.750 0.500
0.750 0.250 0.500
```

Results
Energy relative to the lowest polymorph listed for this composition = 84 meV per atom
SG = I4/mmm, No. 139
Volume = 15.609 Å³/atom
VASP energy = -15.40 eV/cell


No. 4
A geometry-optimized TeIrF structure, computed with PBE-GGA.

```
TeIrF
1.0
3.145 0.000 0.000
0.000 3.176 0.000
0.000 0.000 5.624
Te Ir F
1 1 1
Direct
0.000 0.000 0.000
0.500 0.500 0.264
0.500 0.500 0.631
```

Results
Energy relative to the lowest polymorph listed for this composition = 182 meV per atom
SG = Pmm2, No. 25
Volume = 18.726 Å³/atom
VASP energy = -15.26 eV/cell